The following is a PBE calculation of NdYPb2 after structural relaxation, from Alexandria via LeMat-Bulk.

a = 4.1128 Å, b = 4.1128 Å, c = 26.2705 Å
α = 90.00°, β = 90.00°, γ = 120.00°
Fractional positions:
Nd 0.0000 0.0000 0.0000
Nd 0.3333 0.6667 0.6667
Nd 0.6667 0.3333 0.3333
Y 0.0000 0.0000 0.5000
Y 0.3333 0.6667 0.1667
Y 0.6667 0.3333 0.8333
Pb 0.0000 0.0000 0.2478
Pb 0.0000 0.0000 0.7522
Pb 0.3333 0.6667 0.4188
Pb 0.3333 0.6667 0.9145
Pb 0.6667 0.3333 0.0855
Pb 0.6667 0.3333 0.5812

Summary:
ΔE_f: -0.392 eV/atom